KFeSbF6 (PBE with a Hubbard U, relaxed); magnetization = 4.0 μB per formula unit; energy = -0.1819 Ha/atom
1.0
-1.8926 -3.2025 4.6676
2.9651 -4.7418 1.8477
2.7572 2.9583 3.1745
F K Fe Sb
6 1 1 1
Direct
0.0422 0.3924 0.2886
0.7093 0.3554 0.6856
0.9562 0.6940 0.6890
0.5820 0.0155 0.2898
0.3933 0.5691 0.2852
0.3269 0.9658 0.6739
0.9960 0.0049 0.0458
0.6643 0.6672 0.4895
0.3295 0.3358 0.5525